A relaxed structure of Tl2SbPd8. Source: Alexandria via LeMat-Bulk, functional PBE-GGA.

Unit cell a=5.133 b=7.667 c=7.471 alpha=59.13 beta=71.67 gamma=52.20
Sites, in units of the cell vectors:
1 Tl 0.000 0.303 0.394
2 Tl 0.000 0.697 0.606
3 Sb 0.500 0.000 0.000
4 Pd 0.894 0.105 0.218
5 Pd 0.894 0.323 0.782
6 Pd 0.332 0.397 0.000
7 Pd 0.500 0.787 0.426
8 Pd 0.500 0.213 0.574
9 Pd 0.668 0.603 0.000
10 Pd 0.106 0.677 0.218
11 Pd 0.106 0.895 0.782

## Properties
* energy relative to the lowest polymorph listed for this composition: 1.12 eV per formula unit
* size of the total moment: 0.00 μB/atom
* total DFT energy (no corrections): -52.0 eV/cell
* formation energy (no corrections): -13.9 kJ/mol of atoms